1.
Below is a relaxed Ce4PuRu2 crystal, with properties calculated at the PBE level.

ΔH_f (0 K): -0.15 eV/atom
total moment: 14.20 Bohr magnetons per cell
excess energy over the best structure of this formula in the dataset: 0.0000 eV per atom

Cell lengths 12.465, 3.724, 7.065 Å; angles 90.00, 91.51, 90.00 degrees
Space group C2/m (No. 12)
Inequivalent atoms, fractional coordinates:
Ce (0.071, 0.000, 0.164) (multiplicity 4)
Ce (0.204, 0.000, 0.675) (multiplicity 4)
Pu (0.000, 0.500, 0.500) (multiplicity 2)
Ru (0.162, 0.500, 0.922) (multiplicity 4)


2.
Below is a relaxed Dy2HRh crystal, with properties calculated at the PBE level.

total moment: 0.00 Bohr magnetons per cell
excess energy over the best structure of this formula in the dataset: 0.1379 eV per atom

Cell lengths 3.8694, 3.8694, 18.0584 Å; angles 90.00, 90.00, 120.00 degrees
Space group R-3m (No. 166, hexagonal axes)
Inequivalent atoms, fractional coordinates:
Dy (0.0000, 0.0000, 0.2440) (multiplicity 6)
H (0.0000, 0.0000, 0.5000) (multiplicity 3)
Rh (0.0000, 0.0000, 0.0000) (multiplicity 3)


3.
Below is a relaxed CoTcHRu2 crystal, with properties calculated at the PBE level.

total moment: 0.00 Bohr magnetons per cell
excess energy over the best structure of this formula in the dataset: 0.0603 eV per atom

Cell lengths 3.813, 3.813, 3.826 Å; angles 90.00, 90.00, 90.00 degrees
Space group P4/mmm (No. 123)
Inequivalent atoms, fractional coordinates:
Co (0.000, 0.000, 0.000) (multiplicity 1)
Tc (0.500, 0.500, 0.000) (multiplicity 1)
H (0.500, 0.500, 0.500) (multiplicity 1)
Ru (0.000, 0.500, 0.500) (multiplicity 2)


4.
Below is a relaxed PaNiBr6 crystal, with properties calculated at the PBE level.

total moment: 1.86 Bohr magnetons per cell
formation energy from raw total energies: -1.044 eV/atom

Cell lengths 7.261, 12.812, 7.300 Å; angles 90.00, 119.05, 90.00 degrees
Space group C2/m (No. 12)
Inequivalent atoms, fractional coordinates:
Pa (0.000, 0.000, 0.000) (multiplicity 2)
Ni (0.000, 0.500, 0.500) (multiplicity 2)
Br (0.213, 0.000, 0.786) (multiplicity 4)
Br (0.224, 0.354, 0.727) (multiplicity 8)


5.
Below is a relaxed EuPbAu4 crystal, with properties calculated at the PBE level.

ΔH_f (0 K): -0.42 eV/atom
total moment: 28.14 Bohr magnetons per cell

Cell lengths 8.114, 8.114, 8.114 Å; angles 90.00, 90.00, 90.00 degrees
Space group F-43m (No. 216)
Inequivalent atoms, fractional coordinates:
Eu (0.000, 0.000, 0.000) (multiplicity 4)
Pb (0.250, 0.250, 0.250) (multiplicity 4)
Au (0.125, 0.125, 0.625) (multiplicity 16)


6.
Below is a relaxed Mg2GeW crystal, with properties calculated at the PBE level.

ΔH_f (0 K): 0.69 eV/atom
total moment: 0.00 Bohr magnetons per cell

Cell lengths 7.601, 7.601, 5.188 Å; angles 90.00, 90.00, 90.00 degrees
Space group I-42d (No. 122)
Inequivalent atoms, fractional coordinates:
Mg (0.228, 0.250, 0.125) (multiplicity 8)
Ge (0.000, 0.000, 0.000) (multiplicity 4)
W (0.000, 0.000, 0.500) (multiplicity 4)


7.
Below is a relaxed Re2NiAs crystal, with properties calculated at the PBE level.

ΔH_f (0 K): 0.53 eV/atom
total moment: 0.00 Bohr magnetons per cell

Cell lengths 3.720, 3.720, 18.078 Å; angles 90.00, 90.00, 90.00 degrees
Space group I-42d (No. 122)
Inequivalent atoms, fractional coordinates:
Re (0.211, 0.250, 0.125) (multiplicity 8)
Ni (0.000, 0.000, 0.000) (multiplicity 4)
As (0.000, 0.000, 0.500) (multiplicity 4)


8.
Below is a relaxed UGaMo crystal, with properties calculated at the PBE level.

ΔH_f (0 K): 0.14 eV/atom
total moment: 2.36 Bohr magnetons per cell
excess energy over the best structure of this formula in the dataset: 0.0338 eV per atom

Cell lengths 3.188, 3.188, 11.052 Å; angles 90.00, 90.00, 90.00 degrees
Space group I4mm (No. 107)
Inequivalent atoms, fractional coordinates:
U (0.000, 0.000, 0.000) (multiplicity 2)
Ga (0.000, 0.000, 0.705) (multiplicity 2)
Mo (0.000, 0.000, 0.338) (multiplicity 2)


9.
Below is a relaxed NiPtSe2N crystal, with properties calculated at the PBE level.

total moment: 0.00 Bohr magnetons per cell
formation energy from raw total energies: 0.640 eV/atom
excess energy over the best structure of this formula in the dataset: 0.0000 eV per atom

Cell lengths 4.914, 4.914, 3.331 Å; angles 90.00, 90.00, 90.00 degrees
Space group P4/mmm (No. 123)
Inequivalent atoms, fractional coordinates:
Ni (0.000, 0.000, 0.000) (multiplicity 1)
Pt (0.500, 0.500, 0.500) (multiplicity 1)
Se (0.000, 0.500, 0.000) (multiplicity 2)
N (0.000, 0.000, 0.500) (multiplicity 1)


10.
Below is a relaxed TlCr2Os crystal, with properties calculated at the PBE level.

ΔH_f (0 K): 0.73 eV/atom
total moment: 0.01 Bohr magnetons per cell
excess energy over the best structure of this formula in the dataset: 0.2424 eV per atom

Cell lengths 2.8405, 2.8405, 26.2649 Å; angles 90.00, 90.00, 120.00 degrees
Space group R-3m (No. 166, hexagonal axes)
Inequivalent atoms, fractional coordinates:
Tl (0.0000, 0.0000, 0.0000) (multiplicity 3)
Cr (0.0000, 0.0000, 0.2429) (multiplicity 6)
Os (0.0000, 0.0000, 0.5000) (multiplicity 3)


11.
Below is a relaxed CeSmMnC crystal, with properties calculated at the PBE level.

ΔH_f (0 K): 0.15 eV/atom
total moment: 1.85 Bohr magnetons per cell

Cell lengths 3.700, 3.700, 11.248 Å; angles 90.00, 90.00, 90.00 degrees
Space group P4/nmm (No. 129, origin choice 2)
Inequivalent atoms, fractional coordinates:
Ce (0.250, 0.750, 0.000) (multiplicity 2)
Sm (0.250, 0.250, 0.297) (multiplicity 2)
Mn (0.250, 0.750, 0.500) (multiplicity 2)
C (0.250, 0.250, 0.566) (multiplicity 2)


12.
Below is a relaxed Dy8Y6Pb crystal, with properties calculated at the PBE level.

ΔH_f (0 K): 0.17 eV/atom
total moment: 0.00 Bohr magnetons per cell

Cell lengths 9.1612, 9.1612, 6.7596 Å; angles 90.00, 90.00, 120.00 degrees
Space group P-3 (No. 147)
Inequivalent atoms, fractional coordinates:
Dy (0.0106, 0.3227, 0.1135) (multiplicity 6)
Dy (0.3333, 0.6667, 0.8196) (multiplicity 2)
Y (0.0809, 0.6815, 0.3923) (multiplicity 6)
Pb (0.0000, 0.0000, 0.5000) (multiplicity 1)


13.
Below is a relaxed GaBRu2 crystal, with properties calculated at the PBE level.

ΔH_f (0 K): 0.14 eV/atom
total moment: 0.00 Bohr magnetons per cell
excess energy over the best structure of this formula in the dataset: 0.4564 eV per atom

Cell lengths 4.066, 4.066, 2.907 Å; angles 90.00, 90.00, 90.00 degrees
Space group P4/mmm (No. 123)
Inequivalent atoms, fractional coordinates:
Ga (0.000, 0.000, 0.000) (multiplicity 1)
B (0.500, 0.500, 0.000) (multiplicity 1)
Ru (0.000, 0.500, 0.500) (multiplicity 2)


14.
Below is a relaxed HoTm3H8 crystal, with properties calculated at the PBE level.

total moment: 0.00 Bohr magnetons per cell

Cell lengths 5.083, 5.083, 5.083 Å; angles 90.00, 90.00, 90.00 degrees
Space group Pm-3m (No. 221)
Inequivalent atoms, fractional coordinates:
Ho (0.000, 0.000, 0.000) (multiplicity 1)
Tm (0.000, 0.500, 0.500) (multiplicity 3)
H (0.252, 0.252, 0.252) (multiplicity 8)


15.
Below is a relaxed AsIr2Cl crystal, with properties calculated at the PBE level.

total moment: 0.00 Bohr magnetons per cell
formation energy from raw total energies: 0.823 eV/atom
excess energy over the best structure of this formula in the dataset: 0.5707 eV per atom

Cell lengths 6.370, 6.370, 6.370 Å; angles 90.00, 90.00, 90.00 degrees
Space group F-43m (No. 216)
Inequivalent atoms, fractional coordinates:
As (0.000, 0.000, 0.000) (multiplicity 4)
Ir (0.000, 0.000, 0.500) (multiplicity 4)
Ir (0.250, 0.250, 0.250) (multiplicity 4)
Cl (0.250, 0.250, 0.750) (multiplicity 4)


16.
Below is a relaxed Tb5N4O crystal, with properties calculated at the PBE level.

total moment: 0.00 Bohr magnetons per cell
formation energy from raw total energies: -1.971 eV/atom

Cell lengths 3.484, 4.921, 17.430 Å; angles 90.00, 90.00, 90.00 degrees
Space group Immm (No. 71)
Inequivalent atoms, fractional coordinates:
Tb (0.000, 0.000, 0.000) (multiplicity 2)
Tb (0.000, 0.000, 0.200) (multiplicity 4)
Tb (0.000, 0.000, 0.396) (multiplicity 4)
N (0.000, 0.500, 0.197) (multiplicity 4)
N (0.000, 0.500, 0.402) (multiplicity 4)
O (0.000, 0.500, 0.000) (multiplicity 2)


17.
Below is a relaxed Ca2Ac5Pr2 crystal, with properties calculated at the PBE level.

ΔH_f (0 K): 0.09 eV/atom
total moment: 0.00 Bohr magnetons per cell
excess energy over the best structure of this formula in the dataset: 0.0000 eV per atom

Cell lengths 10.541, 6.330, 11.457 Å; angles 90.00, 94.70, 90.00 degrees
Space group C2/m (No. 12)
Inequivalent atoms, fractional coordinates:
Ca (0.173, 0.000, 0.116) (multiplicity 4)
Ac (0.000, 0.500, 0.000) (multiplicity 2)
Ac (0.019, 0.500, 0.343) (multiplicity 4)
Ac (0.155, 0.000, 0.777) (multiplicity 4)
Pr (0.173, 0.000, 0.447) (multiplicity 4)


18.
Below is a relaxed Cs2YTcBr6 crystal, with properties calculated at the PBE level.

total moment: 0.00 Bohr magnetons per cell
formation energy from raw total energies: -1.187 eV/atom

Cell lengths 10.893, 10.893, 10.893 Å; angles 90.00, 90.00, 90.00 degrees
Space group Fm-3m (No. 225)
Inequivalent atoms, fractional coordinates:
Cs (0.250, 0.250, 0.250) (multiplicity 8)
Y (0.000, 0.000, 0.000) (multiplicity 4)
Tc (0.000, 0.000, 0.500) (multiplicity 4)
Br (0.000, 0.000, 0.258) (multiplicity 24)


19.
Below is a relaxed Pu4HgGe3 crystal, with properties calculated at the PBE level.

ΔH_f (0 K): -0.35 eV/atom
total moment: 0.51 Bohr magnetons per cell

Cell lengths 3.265, 3.265, 17.091 Å; angles 90.00, 90.00, 90.00 degrees
Space group P4/mmm (No. 123)
Inequivalent atoms, fractional coordinates:
Pu (0.000, 0.000, 0.121) (multiplicity 2)
Pu (0.000, 0.000, 0.359) (multiplicity 2)
Hg (0.500, 0.500, 0.500) (multiplicity 1)
Ge (0.500, 0.500, 0.000) (multiplicity 1)
Ge (0.500, 0.500, 0.242) (multiplicity 2)


20.
Below is a relaxed NdScZn10 crystal, with properties calculated at the PBE level.

ΔH_f (0 K): -0.24 eV/atom
total moment: 0.00 Bohr magnetons per cell

Cell lengths 4.232, 5.283, 9.148 Å; angles 90.00, 90.00, 90.00 degrees
Space group Pmmm (No. 47)
Inequivalent atoms, fractional coordinates:
Nd (0.000, 0.000, 0.000) (multiplicity 1)
Sc (0.000, 0.500, 0.500) (multiplicity 1)
Zn (0.000, 0.000, 0.344) (multiplicity 2)
Zn (0.000, 0.500, 0.180) (multiplicity 2)
Zn (0.500, 0.000, 0.500) (multiplicity 1)
Zn (0.500, 0.251, 0.254) (multiplicity 4)
Zn (0.500, 0.500, 0.000) (multiplicity 1)


no.,calculated total energy (eV per atom)
1,-8.241
2,-5.520
3,-7.719
4,-4.208
5,-4.934
6,-4.495
7,-8.306
8,-8.246
9,-4.784
10,-7.485
11,-7.112
12,-5.114
13,-6.929
14,-4.455
15,-5.232
16,-8.112
17,-3.702
18,-4.044
19,-9.288
20,-2.232